1.
Below is a relaxed structure of PuPaTiN3, with properties calculated at the PBE level.

Lattice parameters (Å, degrees): 7.0051 3.4452 9.1442 90.00 104.03 90.00
With the nearest neighbours (Å) after each atom.
Space group P2_1/m (No. 11)
Inequivalent atoms, fractional coordinates:
Pu 0.1725 0.2500 0.1332 x2  5 N 2.38-2.54
Pa 0.3291 0.7500 0.8496 x2  6 N 2.34-2.45
Ti 0.0014 0.2500 0.6209 x2  4 N 2.00-2.16
N 0.0850 0.2500 0.8647 x2  1 Ti 2.16, 1 Pu 2.38
N 0.1382 0.7500 0.6010 x2  3 Ti 2.00-2.03
N 0.4324 0.7500 0.1144 x2  3 Pa 2.35-2.37, 2 Pu 2.54

Calculated values
Its density of states at the Fermi level is 14.86 states/eV/cell. The calculation puts the total energy at -64.00 eV/f.u. Its formation energy from raw total energies is -1.22 eV/atom.

2.
Below is a relaxed structure of AcPPb, with properties calculated at the PBE level.

Lattice parameters (Å, degrees): 4.8263 4.8263 4.4515 90.00 90.00 120.00
With the nearest neighbours (Å) after each atom.
Space group P3m1 (No. 156)
Inequivalent atoms, fractional coordinates:
Ac 0.0000 0.0000 0.0000 x1  3 P 3.30, 6 Pb 3.52-3.61
P 0.6667 0.3333 0.6034 x1  3 Pb 2.84
Pb 0.3333 0.6667 0.4831 x1  3 P 2.84

Calculated values
Its density of states at the Fermi level is 0.52 states/eV/cell. The relative energy among the computed polymorphs comes out at 270 meV per atom. The calculation puts the total energy at -14.71 eV/f.u. The formation enthalpy at 0 K is -496 meV per atom.

3.
Below is a relaxed structure of TmCdTc4, with properties calculated at the PBE level.

Lattice parameters (Å, degrees): 7.4984 7.4984 7.4984 90.00 90.00 90.00
With the nearest neighbours (Å) after each atom.
Space group F-43m (No. 216)
Inequivalent atoms, fractional coordinates:
Tm 0.0000 0.0000 0.0000 x4  12 Tc 3.11, 4 Cd 3.25
Cd 0.2500 0.2500 0.7500 x4  12 Tc 3.11, 4 Tm 3.25
Tc 0.1244 0.1244 0.3756 x16  6 Tc 2.64-2.66

Calculated values
Its density of states at the Fermi level is 14.87 states/eV/cell. The calculation puts the total energy at -46.51 eV/f.u. The formation enthalpy at 0 K is 56 meV per atom.

4.
Below is a relaxed structure of LiCaFe2Br, with properties calculated at the PBE level.

Lattice parameters (Å, degrees): 4.3380 4.3380 5.9129 90.00 90.00 90.00
With the nearest neighbours (Å) after each atom.
Space group P4/mmm (No. 123)
Inequivalent atoms, fractional coordinates:
Li 0.0000 0.0000 0.0000 x1  4 Fe 2.17
Ca 0.0000 0.0000 0.5000 x1  2 Li 2.96, 4 Br 3.07
Fe 0.0000 0.5000 0.0000 x2  2 Li 2.17
Br 0.5000 0.5000 0.5000 x1  4 Ca 3.07

Calculated values
Its density of states at the Fermi level is 7.38 states/eV/cell. The calculation puts the total energy at -19.32 eV/f.u. Its formation energy from raw total energies is 0.64 eV/atom.